# 1
## NaSrNbSe2 (PBE)

Data for crystalline NaSrNbSe2 at its relaxed geometry.

Lattice parameters (Å, degrees): 5.353 4.895 5.353 90.00 90.00 90.00
Last column: magnetic moment on the atom in μB.
Atoms (fractional coordinates):
Sr1 0.500 0.500 0.500  0.06
Nb1 0.000 0.500 0.000  3.05
Se1 0.000 0.000 0.500  -0.10
Se2 0.500 0.000 0.000  -0.10
Na1 0.000 0.000 0.000  0.07

Computed properties:
SG	P4/mmm (123)
raw formation energy	0.306	eV/atom
calculated volume	28.0	A^3/atom
theoretical density	4.28	g/cm³

# 2
## Na2TaNb2Se6 (PBE)

Data for crystalline Na2TaNb2Se6 at its relaxed geometry.

Lattice parameters (Å, degrees): 6.288 6.288 7.761 96.50 96.50 121.26
Atoms (fractional coordinates):
Na1 0.823 0.177 0.000
Na2 0.177 0.823 0.000
Ta1 0.000 0.000 0.500
Nb1 0.367 0.633 0.500
Nb2 0.633 0.367 0.500
Se1 0.747 0.747 0.739
Se2 0.052 0.395 0.703
Se3 0.253 0.253 0.261
Se4 0.395 0.052 0.703
Se5 0.948 0.605 0.297
Se6 0.605 0.948 0.297

Computed properties:
SG	C2/m (12)
raw formation energy	-0.913	eV/atom
calculated volume	23.2	A^3/atom
theoretical density	5.77	g/cm³

It is found that the total moment values, taken in the order of the records, are 3.98; 0.00 μB/cell.